(1)
# TmTlNi

An optimized crystal structure of TmTlNi (PBE, the Open Quantum Materials Database).

The total energy is -0.1392 hartree per atom. Its size of the total moment is 0.0 μB per cell.

It has space group F-43m (No. 216), with a = 6.6796 Å, b = 6.6796 Å, c = 6.6796 Å, α = 90.00°, β = 90.00° and γ = 90.00°. The asymmetric unit holds Tm at (0.0000, 0.0000, 0.0000), Tl at (0.2500, 0.2500, 0.2500) and Ni at (0.2500, 0.2500, 0.7500).


(2)
# CsTbAl

An optimized crystal structure of CsTbAl (PBE, the Open Quantum Materials Database).

The total energy is -0.0700 hartree per atom. Its size of the total moment is 0.1 μB per cell.

It has space group F-43m (No. 216), with a = 7.5840 Å, b = 7.5840 Å, c = 7.5840 Å, α = 90.00°, β = 90.00° and γ = 90.00°. The asymmetric unit holds Cs at (0.0000, 0.0000, 0.0000), Tb at (0.2500, 0.2500, 0.7500) and Al at (0.2500, 0.2500, 0.2500).


(3)
# Li2HfZrTl2Pt2

An optimized crystal structure of Li2HfZrTl2Pt2 (PBE, the Open Quantum Materials Database).

The total energy is -0.1997 hartree per atom. Its size of the total moment is 0.0 μB per cell.

It has space group P-4m2 (No. 115), with a = 4.6463 Å, b = 4.6463 Å, c = 6.5732 Å, α = 90.00°, β = 90.00° and γ = 90.00°. The asymmetric unit holds Li at (0.0000, 0.5000, 0.2503), Hf at (0.0000, 0.0000, 0.5000), Zr at (0.5000, 0.5000, 0.0000), Tl at (0.0000, 0.0000, 0.0000), Tl at (0.5000, 0.5000, 0.5000) and Pt at (0.0000, 0.5000, 0.7459).


(4)
# NbCoSbPd

An optimized crystal structure of NbCoSbPd (PBE, the Open Quantum Materials Database).

The total energy is -0.2441 hartree per atom. Its energy above the lowest structure with this stoichiometry is 0 meV/atom. Its size of the total moment is 0.5 μB per cell.

It has space group F-43m (No. 216), with a = 6.3807 Å, b = 6.3807 Å, c = 6.3807 Å, α = 90.00°, β = 90.00° and γ = 90.00°. The asymmetric unit holds Nb at (0.0000, 0.0000, 0.0000), Co at (0.2500, 0.2500, 0.7500), Sb at (0.0000, 0.0000, 0.5000) and Pd at (0.2500, 0.2500, 0.2500).


(5)
# YFeC

An optimized crystal structure of YFeC (PBE, the Open Quantum Materials Database).

The total energy is -0.3028 hartree per atom. Its size of the total moment is 0.0 μB per cell.

It has space group Pnma (No. 62), with a = 4.9340 Å, b = 3.6466 Å, c = 10.2429 Å, α = 90.00°, β = 90.00° and γ = 90.00°. The asymmetric unit holds Y at (0.0013, 0.2500, 0.1470), Fe at (0.0010, 0.7500, 0.4220) and C at (0.0014, 0.2500, 0.3922).


(6)
# MgTaNiAg

An optimized crystal structure of MgTaNiAg (PBE, the Open Quantum Materials Database).

The total energy is -0.1960 hartree per atom. Its energy above the lowest structure with this stoichiometry is 0 meV/atom. Its size of the total moment is 0.1 μB per cell.

It has space group F-43m (No. 216), with a = 6.3510 Å, b = 6.3510 Å, c = 6.3510 Å, α = 90.00°, β = 90.00° and γ = 90.00°. The asymmetric unit holds Mg at (0.0000, 0.0000, 0.0000), Ta at (0.0000, 0.0000, 0.5000), Ni at (0.2500, 0.2500, 0.2500) and Ag at (0.2500, 0.2500, 0.7500).


(7)
# Sn2GePd6

An optimized crystal structure of Sn2GePd6 (PBE, the Open Quantum Materials Database).

The total energy is -0.1991 hartree per atom.

It has space group P-62m (No. 189), with a = 7.1300 Å, b = 7.1300 Å, c = 3.4550 Å, α = 90.00°, β = 90.00° and γ = 120.00°. The asymmetric unit holds Sn at (0.3333, 0.6667, 0.0000), Ge at (0.0000, 0.0000, 0.5000), Pd at (0.0000, 0.2580, 0.0000) and Pd at (0.0000, 0.6167, 0.5000).


(8)
# SrLaCuS3

An optimized crystal structure of SrLaCuS3 (PBE, the Open Quantum Materials Database).

The total energy is -0.2024 hartree per atom. Its size of the total moment is 0.0 μB per cell.

It has space group Pnma (No. 62), with a = 11.2026 Å, b = 4.1243 Å, c = 11.6028 Å, α = 90.00°, β = 90.00° and γ = 90.00°. The asymmetric unit holds Sr at (0.1806, 0.2500, 0.0083), La at (0.0111, 0.2500, 0.6829), Cu at (0.2454, 0.7500, 0.7900), S at (0.0507, 0.7500, 0.8591), S at (0.1159, 0.2500, 0.4423) and S at (0.2232, 0.7500, 0.1959).


(9)
# Tb4Ga12Au

An optimized crystal structure of Tb4Ga12Au (PBE, the Open Quantum Materials Database).

The total energy is -0.1462 hartree per atom. Its size of the total moment is 0.0 μB per cell.

It has space group Im-3m (No. 229), with a = 8.6905 Å, b = 8.6905 Å, c = 8.6905 Å, α = 90.00°, β = 90.00° and γ = 90.00°. The asymmetric unit holds Tb at (0.2500, 0.2500, 0.2500), Ga at (0.0000, 0.0000, 0.3043), Ga at (0.0000, 0.2500, 0.5000) and Au at (0.0000, 0.0000, 0.0000).


(10)
# LaNdAg2

An optimized crystal structure of LaNdAg2 (PBE, the Open Quantum Materials Database).

The total energy is -0.1504 hartree per atom. Its size of the total moment is 0.1 μB per cell. The calculation puts the formation energy at -0.26 eV per atom.

It has space group Amm2 (No. 38), with a = 4.8905 Å, b = 3.9161 Å, c = 11.4300 Å, α = 90.00°, β = 90.00° and γ = 90.00°. The asymmetric unit holds La at (0.0000, 0.0000, 0.0000), Nd at (0.5000, 0.0000, 0.7137), Ag at (0.0000, 0.0000, 0.2790) and Ag at (0.5000, 0.0000, 0.4316).


(11)
# HoAlTe3Pb

An optimized crystal structure of HoAlTe3Pb (PBE, the Open Quantum Materials Database).

The total energy is -0.1519 hartree per atom. Its size of the total moment is 0.0 μB per cell.

It has space group Cmcm (No. 63), with a = 4.4039 Å, b = 14.8090 Å, c = 11.0375 Å, α = 90.00°, β = 90.00° and γ = 90.00°. The asymmetric unit holds Ho at (0.0000, 0.0000, 0.0000), Al at (0.0000, 0.4718, 0.2500), Te at (0.0000, 0.0937, 0.2500), Te at (0.0000, 0.3568, 0.0473) and Pb at (0.0000, 0.2132, 0.7500).


(12)
# Lu4C2SeS

An optimized crystal structure of Lu4C2SeS (PBE, the Open Quantum Materials Database).

The total energy is -0.2492 hartree per atom. Its size of the total moment is 0.0 μB per cell.

It has space group P-6m2 (No. 187), with a = 3.6345 Å, b = 3.6345 Å, c = 12.7330 Å, α = 90.00°, β = 90.00° and γ = 120.00°. The asymmetric unit holds Lu at (0.0000, 0.0000, 0.1444), Lu at (0.3333, 0.6667, 0.3460), C at (0.6667, 0.3333, 0.2453), Se at (0.0000, 0.0000, 0.5000) and S at (0.3333, 0.6667, 0.0000).